# 1
The following is a DFT calculation (PBE) of crystalline Pm5Bi2Pb2 at its relaxed geometry.

Cell and atoms, written as extended XYZ:
```
18
Lattice="8.0207 -4.2328 0.0000 8.0207 4.2328 0.0000 0.0000 0.0000 8.5074" Properties=species:S:1:pos:R:3 pbc="T T T"
Pm 0.0000 0.0000 0.0000
Pm 5.8600 2.8192 5.6485
Pm 5.8600 1.4136 1.3948
Pm 10.1814 2.8192 5.6485
Pm 10.1814 1.4136 1.3948
Pm 8.0207 0.0000 4.2537
Pm 5.8600 -1.4136 7.1127
Pm 5.8600 -2.8192 2.8590
Pm 10.1814 -1.4136 7.1127
Pm 10.1814 -2.8192 2.8590
Bi 3.2619 0.0000 0.0000
Bi 4.7588 0.0000 4.2537
Bi 11.2826 0.0000 4.2537
Bi 12.7795 0.0000 0.0000
Pb 8.0207 3.0727 3.0879
Pb 8.0207 1.1601 7.3416
Pb 8.0207 -1.1601 1.1658
Pb 8.0207 -3.0727 5.4195
```

## Properties
Total energy: -5.105 eV per atom
Space group: Cmce (64)

***

# 2
The following is a DFT calculation (PBE) of crystalline PmBiPb at its relaxed geometry.

Cell and atoms, written as extended XYZ:
```
3
Lattice="0.0000 3.7564 3.7564 3.7564 0.0000 3.7564 3.7564 3.7564 0.0000" Properties=species:S:1:pos:R:3 pbc="T T T"
Pm 0.0000 0.0000 0.0000
Bi 3.7564 3.7564 3.7564
Pb 5.6346 5.6346 5.6346
```

## Properties
Total energy: -4.282 eV per atom
Space group: F-43m (216)

***

# 3
The following is a DFT calculation (PBE) of crystalline PrBiPb at its relaxed geometry.

Cell and atoms, written as extended XYZ:
```
3
Lattice="0.0000 3.8099 3.8099 3.8099 0.0000 3.8099 3.8099 3.8099 0.0000" Properties=species:S:1:pos:R:3 pbc="T T T"
Pr 0.0000 0.0000 0.0000
Bi 5.7148 5.7148 5.7148
Pb 1.9049 1.9049 1.9049
```

## Properties
Total energy: -4.353 eV per atom
Space group: F-43m (216)

***

# 4
The following is a DFT calculation (PBE) of crystalline PuBiPb at its relaxed geometry.

Cell and atoms, written as extended XYZ:
```
3
Lattice="0.0000 3.5028 3.5028 3.5028 0.0000 3.5028 3.5028 3.5028 0.0000" Properties=species:S:1:pos:R:3 pbc="T T T"
Pu 0.0000 0.0000 0.0000
Bi 5.2542 5.2542 5.2542
Pb 3.5028 3.5028 3.5028
```

## Properties
Total energy: -6.936 eV per atom
Space group: F-43m (216)

***

# 5
The following is a DFT calculation (PBE) of crystalline ReBiPb at its relaxed geometry.

Cell and atoms, written as extended XYZ:
```
3
Lattice="0.0000 3.3697 3.3697 3.3697 0.0000 3.3697 3.3697 3.3697 0.0000" Properties=species:S:1:pos:R:3 pbc="T T T"
Re 0.0000 0.0000 0.0000
Bi 5.0545 5.0545 5.0545
Pb 1.6848 1.6848 1.6848
```

## Properties
Total energy: -5.793 eV per atom
Space group: F-43m (216)

***

# 6
The following is a DFT calculation (PBE) of crystalline TcBiPb at its relaxed geometry.

Cell and atoms, written as extended XYZ:
```
3
Lattice="0.0000 3.3593 3.3593 3.3593 0.0000 3.3593 3.3593 3.3593 0.0000" Properties=species:S:1:pos:R:3 pbc="T T T"
Tc 0.0000 0.0000 0.0000
Bi 5.0390 5.0390 5.0390
Pb 1.6797 1.6797 1.6797
```

## Properties
Total energy: -5.454 eV per atom
Space group: F-43m (216)

***

Question: Among the records above, which one has the lowest total energy?
Answer: PuBiPb

***

Question: Which of these has the highest total energy?
Answer: PmBiPb

***

Question: Among the records above, which one has the highest total energy?
Answer: PmBiPb